*one*
Below is a relaxed structure of RbGa3Si, with properties calculated at the PBE level.

Summary:
The space group is P2_1, No. 4. The value obtained for the total magnetization is 0.000 μB per atom.

Cell: 4.337 8.914 8.564 Å, 128.35 90.00 90.00°
Element x y z (fractional)
Rb  0.473  0.696  0.573
Rb  0.973  0.206  0.075
Ga  0.538  0.194  0.722
Ga  0.546  0.878  0.115
Ga  0.909  0.367  0.604
Ga  0.038  0.708  0.925
Ga  0.046  0.024  0.532
Ga  0.410  0.534  0.043
Si  0.912  0.698  0.221
Si  0.412  0.204  0.426


*two*
Below is a relaxed structure of RbGa3Si, with properties calculated at the PBE level.

Summary:
The space group is Pm-3m, No. 221. The value obtained for the total magnetization is 0.000 μB per atom.

Cell: 5.766 5.766 5.766 Å, 90.00 90.00 90.00°
Element x y z (fractional)
Si  0.500  0.500  0.500
Ga  0.000  0.500  0.000
Ga  0.000  0.000  0.500
Ga  0.500  0.000  0.000
Rb  0.000  0.000  0.000


*three*
Below is a relaxed structure of RbGa3Si, with properties calculated at the PBE level.

Summary:
The space group is Pm-3m, No. 221. The value obtained for the total magnetization is 0.000 μB per atom.

Cell: 5.183 5.183 5.183 Å, 90.00 90.00 90.00°
Element x y z (fractional)
Si  0.000  0.000  0.000
Ga  0.000  0.500  0.000
Ga  0.000  0.000  0.500
Ga  0.500  0.000  0.000
Rb  0.500  0.500  0.500


It is *one* that is the most stable of them.


*one*
Below is a relaxed structure of RbGa2Si2, with properties calculated at the PBE level.

Summary:
The space group is I4/mmm, No. 139. The value obtained for the total magnetization is 0.000 μB per atom.

Cell: 4.522 4.522 6.270 Å, 68.86 68.86 90.00°
Element x y z (fractional)
Si  0.750  0.250  0.500
Si  0.250  0.750  0.500
Ga  0.375  0.375  0.249
Ga  0.625  0.625  0.751
Rb  0.000  0.000  0.000


*two*
Below is a relaxed structure of RbGa2Si2, with properties calculated at the PBE level.

Summary:
The space group is P4/mbm, No. 127. The value obtained for the total magnetization is 0.000 μB per atom.

Cell: 8.341 8.341 3.156 Å, 90.00 90.00 90.00°
Element x y z (fractional)
Si  0.138  0.638  0.500
Si  0.638  0.862  0.500
Si  0.862  0.362  0.500
Si  0.362  0.138  0.500
Ga  0.369  0.869  0.000
Ga  0.869  0.631  0.000
Ga  0.631  0.131  0.000
Ga  0.131  0.369  0.000
Rb  0.000  0.000  0.000
Rb  0.500  0.500  0.000


It is *one* that is the most stable of them.